[1]
VASP calculation (GGA-PBE) on RbCeTl2Cl6 after structural relaxation.

a b c (Å): 7.656 8.451 13.241
angles (deg): 90.00 122.66 90.00
Fractional positions:
Rb  0.000  0.000  0.000
Rb  0.000  0.500  0.500
Ce  0.500  0.000  0.500
Ce  0.500  0.500  0.000
Tl  0.208  0.060  0.725
Tl  0.208  0.440  0.225
Tl  0.792  0.560  0.775
Tl  0.792  0.940  0.275
Cl  0.157  0.162  0.465
Cl  0.157  0.338  0.965
Cl  0.245  0.735  0.407
Cl  0.245  0.765  0.907
Cl  0.406  0.082  0.273
Cl  0.406  0.418  0.773
Cl  0.594  0.582  0.227
Cl  0.594  0.918  0.727
Cl  0.755  0.235  0.093
Cl  0.755  0.265  0.593
Cl  0.843  0.662  0.035
Cl  0.843  0.838  0.535

Summary:
SG	P2_1/c (14)

=====

[2]
VASP calculation (GGA-PBE) on Rb2CeTlCl8 after structural relaxation.

a b c (Å): 6.938 7.156 9.135
angles (deg): 89.99 90.00 87.00
Fractional positions:
Rb  0.001  0.000  0.252
Rb  0.999  0.000  0.748
Ce  0.500  0.500  0.500
Tl  0.500  0.500  0.000
Cl  0.281  0.814  0.999
Cl  0.283  0.375  0.283
Cl  0.284  0.374  0.717
Cl  0.293  0.818  0.501
Cl  0.707  0.182  0.499
Cl  0.716  0.626  0.283
Cl  0.717  0.625  0.717
Cl  0.719  0.186  0.001

Summary:
SG	P-1 (2)

=====

[3]
VASP calculation (GGA-PBE) on RbCeVCl6 after structural relaxation.

a b c (Å): 6.829 6.829 14.724
angles (deg): 90.00 90.00 120.00
Fractional positions:
Rb  0.000  0.000  0.000
Rb  0.000  0.000  0.500
Ce  0.333  0.667  0.250
Ce  0.667  0.333  0.750
V  0.333  0.667  0.750
V  0.667  0.333  0.250
Cl  0.032  0.381  0.649
Cl  0.032  0.651  0.851
Cl  0.349  0.381  0.851
Cl  0.349  0.968  0.649
Cl  0.381  0.032  0.149
Cl  0.381  0.349  0.351
Cl  0.619  0.651  0.649
Cl  0.619  0.968  0.851
Cl  0.651  0.032  0.351
Cl  0.651  0.619  0.149
Cl  0.968  0.349  0.149
Cl  0.968  0.619  0.351

Summary:
SG	P-31c (163)

=====

[4]
VASP calculation (GGA-PBE) on Ce5ReCl5 after structural relaxation.

a b c (Å): 6.958 6.958 8.306
angles (deg): 107.93 107.93 48.70
Fractional positions:
Ce  0.000  0.000  0.000
Ce  0.327  0.327  0.148
Ce  0.344  0.344  0.691
Ce  0.656  0.656  0.309
Ce  0.673  0.673  0.852
Re  0.500  0.500  0.000
Cl  0.153  0.153  0.803
Cl  0.161  0.161  0.350
Cl  0.500  0.500  0.500
Cl  0.839  0.839  0.650
Cl  0.847  0.847  0.197

Summary:
SG	C2/m (12)

=====

[5]
VASP calculation (GGA-PBE) on CeRhCl after structural relaxation.

a b c (Å): 3.950 3.950 8.513
angles (deg): 90.00 90.00 90.00
Fractional positions:
Ce  0.250  0.250  0.231
Ce  0.750  0.750  0.769
Rh  0.250  0.750  0.000
Rh  0.750  0.250  0.000
Cl  0.250  0.250  0.624
Cl  0.750  0.750  0.376

Summary:
SG	P4/nmm (129)

=====

[6]
VASP calculation (GGA-PBE) on CeRhCl6 after structural relaxation.

a b c (Å): 6.926 6.926 6.926
angles (deg): 55.14 55.14 55.14
Fractional positions:
Ce  0.000  0.000  0.000
Rh  0.500  0.500  0.500
Cl  0.115  0.425  0.725
Cl  0.275  0.885  0.575
Cl  0.425  0.725  0.115
Cl  0.575  0.275  0.885
Cl  0.725  0.115  0.425
Cl  0.885  0.575  0.275

Summary:
SG	R-3 (148)

=====

[7]
VASP calculation (GGA-PBE) on Ce2RhCl2 after structural relaxation.

a b c (Å): 10.367 10.367 10.367
angles (deg): 22.47 22.47 22.47
Fractional positions:
Ce  0.112  0.112  0.112
Ce  0.888  0.888  0.888
Rh  0.500  0.500  0.500
Cl  0.279  0.279  0.279
Cl  0.721  0.721  0.721

Summary:
SG	R-3m (166)

=====

[8]
VASP calculation (GGA-PBE) on Ce4RhS2Cl after structural relaxation.

a b c (Å): 7.055 3.953 7.148
angles (deg): 90.00 108.89 90.00
Fractional positions:
Ce  0.241  0.000  0.250
Ce  0.243  0.500  0.739
Ce  0.757  0.500  0.261
Ce  0.759  0.000  0.750
Rh  0.000  0.500  0.000
S  0.000  0.000  0.500
S  0.500  0.500  0.500
Cl  0.500  0.000  0.000

Summary:
SG	P2/m (10)

=====

[9]
VASP calculation (GGA-PBE) on CeSmRhCl after structural relaxation.

a b c (Å): 8.041 8.041 8.041
angles (deg): 28.67 28.67 28.67
Fractional positions:
Ce  0.000  0.000  0.000
Sm  0.197  0.197  0.197
Rh  0.602  0.602  0.602
Cl  0.432  0.432  0.432

Summary:
SG	R3m (160)

=====

[10]
VASP calculation (GGA-PBE) on Ce4RuCl5 after structural relaxation.

a b c (Å): 9.023 9.023 8.560
angles (deg): 102.86 102.86 25.29
Fractional positions:
Ce  0.005  0.005  0.231
Ce  0.338  0.338  0.935
Ce  0.662  0.662  0.065
Ce  0.995  0.995  0.769
Ru  0.500  0.500  0.000
Cl  0.164  0.164  0.813
Cl  0.171  0.171  0.314
Cl  0.500  0.500  0.500
Cl  0.829  0.829  0.686
Cl  0.836  0.836  0.187

Summary:
SG	C2/m (12)

=====

[11]
VASP calculation (GGA-PBE) on CeRuCl after structural relaxation.

a b c (Å): 4.063 4.063 10.398
angles (deg): 94.10 94.10 67.66
Fractional positions:
Ce  0.099  0.099  0.189
Ce  0.901  0.901  0.811
Ru  0.326  0.326  0.042
Ru  0.674  0.674  0.958
Cl  0.223  0.223  0.652
Cl  0.777  0.777  0.348

Summary:
SG	C2/m (12)

=====

[12]
VASP calculation (GGA-PBE) on Ce3RuSeCl after structural relaxation.

a b c (Å): 7.648 3.790 10.470
angles (deg): 90.00 103.74 90.00
Fractional positions:
Ce  0.028  0.250  0.263
Ce  0.228  0.250  0.060
Ce  0.340  0.750  0.582
Ce  0.660  0.250  0.418
Ce  0.772  0.750  0.940
Ce  0.972  0.750  0.737
Ru  0.102  0.250  0.576
Ru  0.898  0.750  0.424
Se  0.346  0.750  0.289
Se  0.654  0.250  0.711
Cl  0.346  0.750  0.887
Cl  0.654  0.250  0.113

Summary:
SG	P2_1/m (11)

=====

Computed values of M_tot (unit: μB/f.u.) for the preceding records, in sequence: 1.000, 1.084, 4.000, 4.659, 0.681, 1.042, 1.870, 3.428, 0.971, 5.499, 0.080, 1.875.
Computed values of formation energy without anion corrections (unit: kJ/mol of atoms) for the preceding records, in sequence: -165.0, -158.2, -175.3, -123.2, -121.7, -128.0, -138.2, -145.6, -106.7, -150.1, -105.8, -99.6.